Run A
! PBE-GGA Pm2NdHo4, relaxed; values from VASP
&SYSTEM
  ibrav = 0, nat = 14, ntyp = 3
/
ATOMIC_SPECIES
Ho 164.93 Ho.upf
Pm 145.00 Pm.upf
Nd 144.24 Nd.upf
CELL_PARAMETERS angstrom
6.097 0.000 -0.384
0.000 6.612 0.000
-2.517 0.000 11.480
ATOMIC_POSITIONS angstrom
Ho 3.791 1.653 6.308
Ho -0.288 1.653 1.905
Ho 0.451 3.359 8.013
Ho 3.868 4.959 9.191
Ho 3.129 0.053 3.083
Ho 0.451 6.559 8.013
Ho -0.211 4.959 4.788
Ho 3.129 3.253 3.083
Pm -0.131 1.653 11.190
Pm 3.711 4.959 -0.094
Pm 0.656 1.653 5.064
Pm 2.925 4.959 6.032
Nd 0.714 4.959 1.504
Nd 2.866 1.653 9.592
! Volume: 228.2 Å³/f.u.
! Space group: P2_1/m

Run B
! PBE-GGA Pm2NdHo4, relaxed; values from VASP
&SYSTEM
  ibrav = 0, nat = 7, ntyp = 3
/
ATOMIC_SPECIES
Pm 145.00 Pm.upf
Nd 144.24 Nd.upf
Ho 164.93 Ho.upf
CELL_PARAMETERS angstrom
3.526 0.254 -0.328
-0.892 8.126 -3.281
-0.911 -1.213 8.465
ATOMIC_POSITIONS angstrom
Pm -0.267 3.329 -0.257
Pm 1.989 3.838 5.113
Nd 0.000 0.000 0.000
Ho 1.258 6.659 -0.502
Ho -0.130 5.104 2.551
Ho 1.852 2.063 2.305
Ho 0.464 0.508 5.357
! Volume: 228.4 Å³/f.u.
! Space group: C2/m

Pick run B: it beats the second-best structure by 0.080 eV/atom.

Run A
! PBE-GGA PmNdHoTh, relaxed; values from VASP
&SYSTEM
  ibrav = 0, nat = 4, ntyp = 4
/
ATOMIC_SPECIES
Th 232.04 Th.upf
Nd 144.24 Nd.upf
Pm 145.00 Pm.upf
Ho 164.93 Ho.upf
CELL_PARAMETERS angstrom
3.606 0.000 0.000
0.000 3.606 0.000
0.000 0.000 10.239
ATOMIC_POSITIONS angstrom
Th 0.000 0.000 5.807
Nd 0.000 0.000 0.781
Pm 1.803 1.803 8.293
Ho 1.803 1.803 3.391
! Volume: 133.1 Å³/f.u.
! Space group: P4mm

Run B
! PBE-GGA PmNdHoTh, relaxed; values from VASP
&SYSTEM
  ibrav = 0, nat = 4, ntyp = 4
/
ATOMIC_SPECIES
Th 232.04 Th.upf
Pm 145.00 Pm.upf
Ho 164.93 Ho.upf
Nd 144.24 Nd.upf
CELL_PARAMETERS angstrom
-2.656 4.190 -2.870
0.206 0.128 -5.726
-4.703 -1.159 -3.063
ATOMIC_POSITIONS angstrom
Th -5.365 2.369 -8.745
Pm 0.000 0.000 0.000
Ho -3.576 1.580 -5.830
Nd -1.788 0.790 -2.915
! Volume: 133.1 Å³/f.u.
! Space group: F-43m

Pick run A: it beats the second-best structure by 0.139 eV/atom.

Run A
! PBE-GGA PmNdYHo, relaxed; values from VASP
&SYSTEM
  ibrav = 0, nat = 4, ntyp = 4
/
ATOMIC_SPECIES
Y 88.91 Y.upf
Ho 164.93 Ho.upf
Nd 144.24 Nd.upf
Pm 145.00 Pm.upf
CELL_PARAMETERS angstrom
-4.524 2.365 -0.308
-2.253 -4.453 -1.103
2.614 0.209 5.658
ATOMIC_POSITIONS angstrom
Y -0.690 -0.744 4.414
Ho -1.429 -2.553 1.384
Nd -2.565 0.856 1.784
Pm -4.078 -1.788 3.706
! Volume: 132.8 Å³/f.u.
! Space group: I-4m2

Run B
! PBE-GGA PmNdYHo, relaxed; values from VASP
&SYSTEM
  ibrav = 0, nat = 4, ntyp = 4
/
ATOMIC_SPECIES
Nd 144.24 Nd.upf
Y 88.91 Y.upf
Ho 164.93 Ho.upf
Pm 145.00 Pm.upf
CELL_PARAMETERS angstrom
5.744 0.000 0.000
2.872 4.974 0.000
2.872 1.658 4.690
ATOMIC_POSITIONS angstrom
Nd 0.000 0.000 0.000
Y 8.616 4.974 3.517
Ho 2.872 1.658 1.172
Pm 5.744 3.316 2.345
! Volume: 134.0 Å³/f.u.
! Space group: F-43m

Pick run A: it beats the second-best structure by 0.093 eV/atom.

Run A
! PBE-GGA Pr12Nd6Ho, relaxed; values from VASP
&SYSTEM
  ibrav = 0, nat = 19, ntyp = 3
/
ATOMIC_SPECIES
Nd 144.24 Nd.upf
Pr 140.91 Pr.upf
Ho 164.93 Ho.upf
CELL_PARAMETERS angstrom
9.512 -1.815 -2.653
-2.957 9.221 -2.653
-1.606 -1.815 9.744
ATOMIC_POSITIONS angstrom
Nd 0.936 1.058 3.640
Nd 4.351 1.770 3.902
Nd 0.598 3.821 0.537
Nd 4.012 4.533 0.799
Nd 1.229 4.533 3.902
Nd 3.720 1.058 0.537
Pr -2.263 6.988 2.219
Pr 4.635 5.237 -3.011
Pr 1.961 6.988 -2.490
Pr -2.491 5.237 4.934
Pr -0.552 7.428 -0.495
Pr 0.314 0.354 7.450
Pr -1.750 2.796 6.929
Pr 7.212 -1.397 2.219
Pr 5.501 -1.836 4.934
Pr 6.698 2.796 -2.490
Pr 7.440 0.354 -0.495
Pr 2.988 -1.397 6.929
Ho 0.000 0.000 0.000
! Volume: 695.3 Å³/f.u.
! Space group: R-3m

Run B
! PBE-GGA Pr12Nd6Ho, relaxed; values from VASP
&SYSTEM
  ibrav = 0, nat = 19, ntyp = 3
/
ATOMIC_SPECIES
Pr 140.91 Pr.upf
Nd 144.24 Nd.upf
Ho 164.93 Ho.upf
CELL_PARAMETERS angstrom
-5.374 6.571 2.414
-6.766 -3.839 -4.170
-2.218 -4.353 7.351
ATOMIC_POSITIONS angstrom
Pr -3.504 -0.205 -0.913
Pr -10.854 -1.415 6.508
Pr -7.548 -1.550 5.221
Pr -2.186 -2.187 1.896
Pr -11.878 -3.090 3.394
Pr -6.810 -0.070 0.374
Pr -2.480 1.470 2.201
Pr -12.172 0.567 3.700
Pr -5.577 -2.807 2.748
Pr -8.806 -2.472 1.726
Pr -8.782 1.186 2.848
Pr -5.552 0.852 3.869
Nd -5.835 -3.197 -0.766
Nd -10.749 0.078 0.215
Nd -5.748 3.181 1.306
Nd -8.610 -4.801 4.289
Nd -8.523 1.577 6.361
Nd -3.610 -1.698 5.380
Ho 0.000 0.000 0.000
! Volume: 687.3 Å³/f.u.
! Space group: R-3

Pick run B: it beats the second-best structure by 0.170 eV/atom.

Run A
! PBE-GGA Pr5Nd2Ho2, relaxed; values from VASP
&SYSTEM
  ibrav = 0, nat = 18, ntyp = 3
/
ATOMIC_SPECIES
Pr 140.91 Pr.upf
Nd 144.24 Nd.upf
Ho 164.93 Ho.upf
CELL_PARAMETERS angstrom
12.016 0.000 0.000
0.000 6.951 0.000
-6.008 -3.475 7.564
ATOMIC_POSITIONS angstrom
Pr 2.810 -0.857 2.164
Pr -2.955 -2.001 6.763
Pr 8.947 -0.630 3.782
Pr -3.053 1.475 6.763
Pr 9.061 4.950 0.801
Pr 8.962 1.475 0.801
Pr 3.198 2.618 2.164
Pr 2.810 -0.857 5.400
Pr 3.198 2.618 5.400
Pr -2.939 2.846 3.782
Nd 5.962 0.383 5.653
Nd 0.046 3.859 5.653
Nd 5.962 0.383 1.911
Nd 0.046 3.859 1.911
Ho 6.008 3.735 0.000
Ho 0.104 0.704 3.782
Ho 5.903 4.180 3.782
Ho 0.000 0.259 0.000
! Volume: 315.9 Å³/f.u.
! Space group: Ima2

Run B
! PBE-GGA Pr5Nd2Ho2, relaxed; values from VASP
&SYSTEM
  ibrav = 0, nat = 9, ntyp = 3
/
ATOMIC_SPECIES
Ho 164.93 Ho.upf
Pr 140.91 Pr.upf
Nd 144.24 Nd.upf
CELL_PARAMETERS angstrom
5.708 -0.784 -2.688
-3.262 5.222 1.588
-3.981 2.488 13.407
ATOMIC_POSITIONS angstrom
Ho -4.641 5.330 11.184
Ho 3.107 1.596 1.123
Pr -2.024 2.944 7.373
Pr -0.080 3.410 1.353
Pr 0.490 3.982 4.935
Pr 0.000 0.000 0.000
Pr -1.454 3.517 10.954
Nd 0.564 0.572 3.557
Nd -2.098 6.354 8.750
! Volume: 313.7 Å³/f.u.
! Space group: C2/m

Pick run B: it beats the second-best structure by 0.188 eV/atom.

Run A
! PBE-GGA Pr6Nd3Ho, relaxed; values from VASP
&SYSTEM
  ibrav = 0, nat = 20, ntyp = 3
/
ATOMIC_SPECIES
Pr 140.91 Pr.upf
Nd 144.24 Nd.upf
Ho 164.93 Ho.upf
CELL_PARAMETERS angstrom
-1.063 -1.450 6.327
3.227 -10.587 -1.884
7.456 7.821 3.044
ATOMIC_POSITIONS angstrom
Pr 8.315 1.272 4.208
Pr 6.927 -2.693 0.945
Pr 3.285 -1.750 0.550
Pr 4.242 -5.687 0.450
Pr 2.988 -10.480 0.566
Pr 3.345 2.558 3.668
Pr 1.053 -5.831 4.780
Pr 6.023 -7.117 5.320
Pr 6.742 -1.909 4.513
Pr 3.101 -0.966 4.117
Pr 6.397 5.944 8.321
Pr 5.587 1.755 5.800
Nd 4.231 -4.368 3.690
Nd 5.746 0.639 1.673
Nd 0.877 -3.311 2.547
Nd 8.294 -1.519 7.622
Nd 1.337 0.282 6.866
Nd 7.833 -5.111 3.303
Ho 3.385 -7.953 2.938
Ho 6.527 4.135 2.816
! Volume: 356.2 Å³/f.u.
! Space group: Cmc2_1

Run B
! PBE-GGA Pr6Nd3Ho, relaxed; values from VASP
&SYSTEM
  ibrav = 0, nat = 10, ntyp = 3
/
ATOMIC_SPECIES
Pr 140.91 Pr.upf
Nd 144.24 Nd.upf
Ho 164.93 Ho.upf
CELL_PARAMETERS angstrom
-1.308 -6.868 0.010
7.208 -1.365 5.613
-3.955 4.316 3.391
ATOMIC_POSITIONS angstrom
Pr 4.816 -4.467 6.002
Pr -0.579 -5.314 2.989
Pr -2.870 0.551 3.012
Pr 0.109 -1.705 2.984
Pr 1.837 -2.211 6.030
Pr 2.524 1.398 6.025
Nd -2.166 -3.139 4.757
Nd 0.000 0.000 0.000
Nd 4.111 -0.777 4.257
Ho 2.950 -4.116 2.811
! Volume: 358.3 Å³/f.u.
! Space group: C2/m

Pick run A: it beats the second-best structure by 0.074 eV/atom.